# 1
{
  "formula": "Mn3SiH",
  "functional": "PBEsol",
  "state": "optimized geometry",
  "final_energy_ev_per_atom": -7.918,
  "m_tot_mub_per_fu": 5.8,
  "lattice": [[-2.2542, 0.7458, -2.7127], [2.3120, -1.4895, -2.3307], [-1.6030, -3.1971, 0.4531]],
  "species": ["H", "Si", "Mn", "Mn", "Mn"],
  "frac_coords": [[0.5000, 0.5000, 0.5000], [0.0000, 0.0000, 0.0000], [0.5000, 0.5000, 0.0000], [0.0000, 0.5000, 0.5000], [0.5000, 0.0000, 0.5000]]
}

# 2
{
  "formula": "Co2ReTc",
  "functional": "PBEsol",
  "state": "optimized geometry",
  "formation_enthalpy_0k_ev_per_atom": 0.0366,
  "final_energy_ev_per_atom": -9.982,
  "m_tot_mub_per_fu": 0.0,
  "lattice": [[3.6727, 0.0000, 0.0000], [0.0000, 3.6727, 0.0000], [-1.8364, -1.8364, 3.6015]],
  "species": ["Re", "Co", "Co", "Tc"],
  "frac_coords": [[0.0000, 0.0000, 0.0000], [0.5000, 0.5000, 0.0000], [0.7500, 0.2500, 0.5000], [0.2500, 0.7500, 0.5000]]
}

# 3
{
  "formula": "MgCoAsSe2",
  "functional": "PBEsol",
  "state": "optimized geometry",
  "formation_energy_uncorrected_mev_per_atom": 29.9,
  "final_energy_ev_per_atom": -4.422,
  "m_tot_mub_per_fu": 0.0,
  "lattice": [[-3.4930, -1.9194, -1.3889], [-0.1901, -2.6385, 4.1245], [-2.7440, 3.4760, 2.0972]],
  "species": ["As", "Co", "Mg", "Se", "Se"],
  "frac_coords": [[0.5000, 0.0000, 0.0000], [0.0000, 0.0000, 0.0000], [0.5000, 0.5000, 0.5000], [0.0000, 0.0000, 0.5000], [0.0000, 0.5000, 0.0000]]
}

# 4
{
  "formula": "Cu3P8S6Cl3",
  "functional": "PBEsol",
  "state": "optimized geometry",
  "formation_energy_uncorrected_mev_per_atom": -290.5,
  "final_energy_ev_per_atom": -4.874,
  "m_tot_mub_per_fu": 0.0,
  "lattice": [[-1.1246, -5.0548, -3.1263], [8.2294, 2.6139, -7.1866], [17.1349, -13.0190, 14.8863]],
  "species": ["Cu", "Cu", "Cu", "Cu", "Cu", "Cu", "Cu", "Cu", "Cu", "Cu", "Cu", "Cu", "P", "P", "P", "P", "P", "P", "P", "P", "P", "P", "P", "P", "P", "P", "P", "P", "P", "P", "P", "P", "P", "P", "P", "P", "P", "P", "P", "P", "P", "P", "P", "P", "S", "S", "S", "S", "S", "S", "S", "S", "S", "S", "S", "S", "S", "S", "S", "S", "S", "S", "S", "S", "S", "S", "S", "S", "Cl", "Cl", "Cl", "Cl", "Cl", "Cl", "Cl", "Cl", "Cl", "Cl", "Cl", "Cl"],
  "frac_coords": [[0.3055, 0.1431, 0.2500], [0.7114, 0.6437, 0.5021], [0.6945, 0.8569, 0.7500], [0.2114, 0.8563, 0.5021], [0.7886, 0.1437, 0.4979], [0.2886, 0.3563, 0.4979], [0.7114, 0.6437, 0.9979], [0.1945, 0.6431, 0.7500], [0.2886, 0.3563, 0.0021], [0.2114, 0.8563, 0.9979], [0.8055, 0.3569, 0.2500], [0.7886, 0.1437, 0.0021], [0.8456, 0.5464, 0.5698], [0.5862, 0.9480, 0.8202], [0.6737, 0.8617, 0.3943], [0.1737, 0.6383, 0.1057], [0.3584, 0.9282, 0.4311], [0.1544, 0.4536, 0.4302], [0.1416, 0.4282, 0.5689], [0.1416, 0.4282, 0.9311], [0.3456, 0.9536, 0.5698], [0.1544, 0.4536, 0.0698], [0.8584, 0.5718, 0.4311], [0.3263, 0.1383, 0.8943], [0.6737, 0.8617, 0.1057], [0.8456, 0.5464, 0.9302], [0.6544, 0.0464, 0.0698], [0.3263, 0.1383, 0.6057], [0.9138, 0.4480, 0.3202], [0.9138, 0.4480, 0.1798], [0.0862, 0.5520, 0.8202], [0.5862, 0.9480, 0.6798], [0.6416, 0.0718, 0.9311], [0.3456, 0.9536, 0.9302], [0.8263, 0.3617, 0.6057], [0.6416, 0.0718, 0.5689], [0.0862, 0.5520, 0.6798], [0.4138, 0.0520, 0.3202], [0.8263, 0.3617, 0.8943], [0.1737, 0.6383, 0.3943], [0.3584, 0.9282, 0.0689], [0.6544, 0.0464, 0.4302], [0.4138, 0.0520, 0.1798], [0.8584, 0.5718, 0.0689], [0.3344, 0.4896, 0.6296], [0.8344, 0.0104, 0.8704], [0.3827, 0.1007, 0.6829], [0.0970, 0.3382, 0.3695], [0.3827, 0.1007, 0.8171], [0.6173, 0.8993, 0.3171], [0.6656, 0.5104, 0.1296], [0.5970, 0.1618, 0.1305], [0.8827, 0.3993, 0.8171], [0.3344, 0.4896, 0.8704], [0.4030, 0.8382, 0.8695], [0.4030, 0.8382, 0.6305], [0.8344, 0.0104, 0.6296], [0.1656, 0.9896, 0.1296], [0.5970, 0.1618, 0.3695], [0.9030, 0.6618, 0.6305], [0.1656, 0.9896, 0.3704], [0.6656, 0.5104, 0.3704], [0.8827, 0.3993, 0.6829], [0.1173, 0.6007, 0.3171], [0.6173, 0.8993, 0.1829], [0.0970, 0.3382, 0.1305], [0.1173, 0.6007, 0.1829], [0.9030, 0.6618, 0.8695], [0.3393, 0.6640, 0.9916], [0.8393, 0.8360, 0.5084], [0.5685, 0.6653, 0.7500], [0.6607, 0.3360, 0.0084], [0.1607, 0.1640, 0.4916], [0.9315, 0.1653, 0.2500], [0.1607, 0.1640, 0.0084], [0.4315, 0.3347, 0.2500], [0.6607, 0.3360, 0.4916], [0.8393, 0.8360, 0.9916], [0.3393, 0.6640, 0.5084], [0.0685, 0.8347, 0.7500]]
}

# 5
{
  "formula": "ScTi3Si",
  "functional": "PBEsol",
  "state": "optimized geometry",
  "formation_energy_uncorrected_mev_per_atom": 1203.6,
  "final_energy_ev_per_atom": -6.260,
  "m_tot_mub_per_fu": 1.4,
  "lattice": [[-0.8308, -4.1993, 1.3680], [3.1874, 0.3935, 3.1435], [-3.0571, 1.5514, 2.9057]],
  "species": ["Sc", "Si", "Ti", "Ti", "Ti"],
  "frac_coords": [[0.0000, 0.0000, 0.0000], [0.5000, 0.5000, 0.5000], [0.0000, 0.5000, 0.0000], [0.0000, 0.0000, 0.5000], [0.5000, 0.0000, 0.0000]]
}

# 6
{
  "formula": "TaMo",
  "functional": "PBEsol",
  "state": "optimized geometry",
  "formation_enthalpy_0k_ev_per_atom": -0.1056,
  "final_energy_ev_per_atom": -12.265,
  "m_tot_mub_per_fu": 0.0,
  "lattice": [[2.8048, -0.0017, -0.0012], [0.9904, 5.1623, -0.0056], [0.9817, 1.3256, 6.7537]],
  "species": ["Mo", "Mo", "Mo", "Ta", "Ta", "Ta"],
  "frac_coords": [[0.6612, 0.6661, 0.8344], [0.5000, 0.5000, 0.5000], [0.3388, 0.3339, 0.1656], [0.1788, 0.1717, 0.8327], [0.0000, 0.0000, 0.5000], [0.8212, 0.8283, 0.1673]]
}

# 7
{
  "formula": "EuY2O4",
  "functional": "PBEsol",
  "state": "optimized geometry",
  "formation_energy_uncorrected_mev_per_atom": -3385.8,
  "final_energy_ev_per_atom": -9.844,
  "m_tot_mub_per_fu": 7.0,
  "lattice": [[-1.5501, 6.5672, -1.0391], [-5.5379, 2.7061, 2.9359], [0.6882, 4.5142, 5.0753]],
  "species": ["Eu", "Eu", "Y", "Y", "Y", "Y", "O", "O", "O", "O", "O", "O", "O", "O"],
  "frac_coords": [[0.2500, 0.2500, 0.2500], [0.0000, 0.0000, 0.0000], [0.6250, 0.1250, 0.6250], [0.6250, 0.6250, 0.1250], [0.6250, 0.6250, 0.6250], [0.1250, 0.6250, 0.6250], [0.8288, 0.3904, 0.3904], [0.3904, 0.3904, 0.8288], [0.3904, 0.3904, 0.3904], [0.8596, 0.4212, 0.8596], [0.3904, 0.8288, 0.3904], [0.8596, 0.8596, 0.8596], [0.8596, 0.8596, 0.4212], [0.4212, 0.8596, 0.8596]]
}

# 8
{
  "formula": "K2LiZn",
  "functional": "PBEsol",
  "state": "optimized geometry",
  "formation_enthalpy_0k_ev_per_atom": 0.2424,
  "final_energy_ev_per_atom": -1.211,
  "m_tot_mub_per_fu": 0.0,
  "lattice": [[-1.3926, 3.8378, 0.7044], [-3.5082, -1.5671, 1.6028], [3.7581, -0.1240, 8.1047]],
  "species": ["K", "K", "Li", "Zn"],
  "frac_coords": [[0.0000, 0.0000, 0.2261], [0.0000, 0.0000, 0.7739], [0.5000, 0.5000, 0.5000], [0.5000, 0.5000, 0.0000]]
}